BaDyMn2O5 after structural relaxation. Source: Alexandria via LeMat-Bulk, functional PBE with a Hubbard U.

The density is 6.58 g/cm3. As for the volume: 13.7 Å³ per atom. As for the crystal system: tetragonal. The magnetization comes out at 9.000 μB/f.u. The total DFT energy (no corrections) is -7.55 eV/atom.

The space group is P4/mmm (No. 123) and the conventional cell measures 3.972, 3.972 and 7.831 Å, with angles of 90.00, 90.00 and 90.00 degrees. The distinct sites, in fractional coordinates, are Ba at (0.000, 0.000, 0.000), Dy at (0.000, 0.000, 0.500), Mn at (0.500, 0.500, 0.267), O at (0.000, 0.500, 0.320) and O at (0.500, 0.500, 0.000).